This record from Alexandria via LeMat-Bulk describes BaInBi2 after structural relaxation. The functional is PBE.

Summary:
- Formation enthalpy at 0 K: -0.36 eV per atom
- Theoretical density: 7.37 g cm⁻³

Structure (CIF):
```
data_BaInBi2
_space_group_name_H-M_alt 'I -4 2 d'
_space_group_IT_number 122
_space_group_name_Hall 'I -4 2bw'
_cell_length_a 8.857
_cell_length_b 8.857
_cell_length_c 7.699
_cell_angle_alpha 90.00
_cell_angle_beta 90.00
_cell_angle_gamma 90.00
loop_
_atom_site_label
_atom_site_fract_x
_atom_site_fract_y
_atom_site_fract_z
_atom_site_occupancy
Ba1 0.000 0.000 0.000 1
In1 0.000 0.000 0.500 1
Bi1 0.197 0.250 0.625 1
```

---

This record from Alexandria via LeMat-Bulk describes RbPu3C4N12 after structural relaxation. The functional is PBE.

Summary:
- Raw formation energy: -102 meV per atom
- Theoretical density: 6.46 g cm⁻³

Structure (CIF):
```
data_RbPu3C4N12
_space_group_name_H-M_alt 'R 3 2'
_space_group_IT_number 155
_space_group_name_Hall 'R 3 2"'
_cell_length_a 9.9759
_cell_length_b 9.9759
_cell_length_c 9.2445
_cell_angle_alpha 90.00
_cell_angle_beta 90.00
_cell_angle_gamma 120.00
loop_
_atom_site_label
_atom_site_fract_x
_atom_site_fract_y
_atom_site_fract_z
_atom_site_occupancy
Rb1 0.0000 0.0000 0.0000 1
Pu1 0.0000 0.5510 0.0000 1
C1 0.0000 0.0000 0.5000 1
C2 0.0000 0.4509 0.5000 1
N1 0.0000 0.5882 0.5000 1
N2 0.0000 0.8635 0.5000 1
N3 0.0093 0.2219 0.2238 1
```

---

This record from Alexandria via LeMat-Bulk describes Pr2Co7 after structural relaxation. The functional is PBE.

Summary:
- Formation enthalpy at 0 K: -0.01 eV per atom
- Theoretical density: 8.47 g cm⁻³

Structure (CIF):
```
data_Pr2Co7
_space_group_name_H-M_alt 'R -3 m'
_space_group_IT_number 166
_space_group_name_Hall '-R 3 2"'
_cell_length_a 5.0699
_cell_length_b 5.0699
_cell_length_c 36.6700
_cell_angle_alpha 90.00
_cell_angle_beta 90.00
_cell_angle_gamma 120.00
loop_
_atom_site_label
_atom_site_fract_x
_atom_site_fract_y
_atom_site_fract_z
_atom_site_occupancy
Pr1 0.0000 0.0000 0.0512 1
Pr2 0.0000 0.0000 0.1481 1
Co1 0.0000 0.0000 0.2788 1
Co2 0.0000 0.0000 0.3870 1
Co3 0.0000 0.0000 0.5000 1
Co4 0.0000 0.5000 0.0000 1
Co5 0.0048 0.5024 0.1073 1
```

---

This record from Alexandria via LeMat-Bulk describes Ni2AgMo after structural relaxation. The functional is PBE.

Summary:
- ΔE to the lowest computed polymorph: 89 meV per atom
- Formation enthalpy at 0 K: 0.19 eV per atom
- Theoretical density: 9.59 g cm⁻³

Structure (CIF):
```
data_Ni2AgMo
_space_group_name_H-M_alt 'P m m m'
_space_group_IT_number 47
_space_group_name_Hall '-P 2 2'
_cell_length_a 2.715
_cell_length_b 3.556
_cell_length_c 5.763
_cell_angle_alpha 90.00
_cell_angle_beta 90.00
_cell_angle_gamma 90.00
loop_
_atom_site_label
_atom_site_fract_x
_atom_site_fract_y
_atom_site_fract_z
_atom_site_occupancy
Ni1 0.000 0.000 0.224 1
Ag1 0.500 0.500 0.500 1
Mo1 0.500 0.500 0.000 1
```

---

This record from Alexandria via LeMat-Bulk describes Ac2DyTe after structural relaxation. The functional is PBE.

Summary:
- ΔE to the lowest computed polymorph: 0 meV per atom
- Raw formation energy: -543 meV per atom
- Theoretical density: 8.25 g cm⁻³

Structure (CIF):
```
data_Ac2DyTe
_space_group_name_H-M_alt 'P 4/m m m'
_space_group_IT_number 123
_space_group_name_Hall '-P 4 2'
_cell_length_a 4.106
_cell_length_b 4.106
_cell_length_c 8.879
_cell_angle_alpha 90.00
_cell_angle_beta 90.00
_cell_angle_gamma 90.00
loop_
_atom_site_label
_atom_site_fract_x
_atom_site_fract_y
_atom_site_fract_z
_atom_site_occupancy
Ac1 0.000 0.000 0.225 1
Dy1 0.500 0.500 0.500 1
Te1 0.500 0.500 0.000 1
```

---

This record from Alexandria via LeMat-Bulk describes La4PmPr15 after structural relaxation. The functional is PBE.

Summary:
- Formation enthalpy at 0 K: 0.01 eV per atom
- Theoretical density: 6.42 g cm⁻³

Structure (CIF):
```
data_La4PmPr15
_space_group_name_H-M_alt 'P 4/m m m'
_space_group_IT_number 123
_space_group_name_Hall '-P 4 2'
_cell_length_a 5.265
_cell_length_b 5.265
_cell_length_c 26.272
_cell_angle_alpha 90.00
_cell_angle_beta 90.00
_cell_angle_gamma 90.00
loop_
_atom_site_label
_atom_site_fract_x
_atom_site_fract_y
_atom_site_fract_z
_atom_site_occupancy
La1 0.000 0.000 0.100 1
La2 0.000 0.000 0.300 1
Pm1 0.000 0.000 0.500 1
Pr1 0.000 0.500 0.000 1
Pr2 0.000 0.500 0.200 1
Pr3 0.000 0.500 0.401 1
Pr4 0.500 0.500 0.100 1
Pr5 0.500 0.500 0.301 1
Pr6 0.500 0.500 0.500 1
```

---

This record from Alexandria via LeMat-Bulk describes BeIrAu3 after structural relaxation. The functional is PBE.

Summary:
- ΔE to the lowest computed polymorph: 0 meV per atom
- Formation enthalpy at 0 K: 0.59 eV per atom
- Theoretical density: 16.03 g cm⁻³

Structure (CIF):
```
data_BeIrAu3
_space_group_name_H-M_alt 'P m -3 m'
_space_group_IT_number 221
_space_group_name_Hall '-P 4 2 3'
_cell_length_a 4.345
_cell_length_b 4.345
_cell_length_c 4.345
_cell_angle_alpha 90.00
_cell_angle_beta 90.00
_cell_angle_gamma 90.00
loop_
_atom_site_label
_atom_site_fract_x
_atom_site_fract_y
_atom_site_fract_z
_atom_site_occupancy
Be1 0.000 0.000 0.000 1
Ir1 0.500 0.500 0.500 1
Au1 0.000 0.000 0.500 1
```

---

This record from Alexandria via LeMat-Bulk describes RbMnGeCl5 after structural relaxation. The functional is PBE.

Summary:
- Raw formation energy: -1160 meV per atom
- Theoretical density: 2.80 g cm⁻³

Structure (CIF):
```
data_RbMnGeCl5
_space_group_name_H-M_alt 'C 1 2/c 1'
_space_group_IT_number 15
_space_group_name_Hall '-C 2yc'
_cell_length_a 8.623
_cell_length_b 11.944
_cell_length_c 9.208
_cell_angle_alpha 90.00
_cell_angle_beta 102.63
_cell_angle_gamma 90.00
loop_
_atom_site_label
_atom_site_fract_x
_atom_site_fract_y
_atom_site_fract_z
_atom_site_occupancy
Rb1 0.000 0.151 0.250 1
Mn1 0.000 0.500 0.000 1
Ge1 0.000 0.164 0.750 1
Cl1 0.000 0.424 0.250 1
Cl2 0.109 0.298 0.607 1
Cl3 0.218 0.065 0.978 1
```